Version a
Compound: BeZnNiBi
Source: OQMD via LeMat-Bulk
Functional: GGA-PBE
Structure: optimized geometry

```
data_BeZnNiBi
_symmetry_space_group_name_H-M 'F -4 3 m'
_symmetry_Int_Tables_number 216
_symmetry_space_group_name_Hall 'F -4 2 3'
_cell_length_a 6.3672
_cell_length_b 6.3672
_cell_length_c 6.3672
_cell_angle_alpha 90.00
_cell_angle_beta 90.00
_cell_angle_gamma 90.00
loop_
_atom_site_label
_atom_site_type_symbol
_atom_site_fract_x
_atom_site_fract_y
_atom_site_fract_z
Be1 Be 0.0000 0.0000 0.0000
Zn1 Zn 0.2500 0.2500 0.7500
Ni1 Ni 0.0000 0.0000 0.5000
Bi1 Bi 0.2500 0.2500 0.2500
```

## Properties
- crystal system = cubic

=====

Version b
Compound: BeZnNiBi
Source: OQMD via LeMat-Bulk
Functional: GGA-PBE
Structure: optimized geometry

```
data_BeZnNiBi
_symmetry_space_group_name_H-M 'F -4 3 m'
_symmetry_Int_Tables_number 216
_symmetry_space_group_name_Hall 'F -4 2 3'
_cell_length_a 6.3903
_cell_length_b 6.3903
_cell_length_c 6.3903
_cell_angle_alpha 90.00
_cell_angle_beta 90.00
_cell_angle_gamma 90.00
loop_
_atom_site_label
_atom_site_type_symbol
_atom_site_fract_x
_atom_site_fract_y
_atom_site_fract_z
Be1 Be 0.0000 0.0000 0.0000
Zn1 Zn 0.0000 0.0000 0.5000
Ni1 Ni 0.2500 0.2500 0.7500
Bi1 Bi 0.2500 0.2500 0.2500
```

## Properties
- crystal system = cubic

=====

Verdict on stability: version b comes out at the bottom.

=====

Version a
Compound: BeBiOs2
Source: OQMD via LeMat-Bulk
Functional: GGA-PBE
Structure: optimized geometry

```
data_BeBiOs2
_symmetry_space_group_name_H-M 'F -4 3 m'
_symmetry_Int_Tables_number 216
_symmetry_space_group_name_Hall 'F -4 2 3'
_cell_length_a 6.3671
_cell_length_b 6.3671
_cell_length_c 6.3671
_cell_angle_alpha 90.00
_cell_angle_beta 90.00
_cell_angle_gamma 90.00
loop_
_atom_site_label
_atom_site_type_symbol
_atom_site_fract_x
_atom_site_fract_y
_atom_site_fract_z
Be1 Be 0.0000 0.0000 0.0000
Bi1 Bi 0.2500 0.2500 0.7500
Os1 Os 0.0000 0.0000 0.5000
Os2 Os 0.2500 0.2500 0.2500
```

## Properties
- crystal system = cubic

=====

Version b
Compound: BeBiOs2
Source: OQMD via LeMat-Bulk
Functional: GGA-PBE
Structure: optimized geometry

```
data_BeBiOs2
_symmetry_space_group_name_H-M 'P 3 m 1'
_symmetry_Int_Tables_number 156
_cell_length_a 4.0158
_cell_length_b 4.0158
_cell_length_c 5.0499
_cell_angle_alpha 90.00
_cell_angle_beta 90.00
_cell_angle_gamma 120.00
loop_
_symmetry_equiv_pos_as_xyz
'x,y,z'
'-y,x-y,z'
'-x+y,-x,z'
'-y,-x,z'
'-x+y,y,z'
'x,x-y,z'
loop_
_atom_site_label
_atom_site_type_symbol
_atom_site_fract_x
_atom_site_fract_y
_atom_site_fract_z
Be1 Be 0.0000 0.0000 0.0000
Bi1 Bi 0.6667 0.3333 0.7814
Os1 Os 0.0000 0.0000 0.4422
Os2 Os 0.3333 0.6667 0.2724
```

## Properties
- crystal system = trigonal

=====

Verdict on stability: version a comes out at the bottom.

=====

Version a
Compound: PmBeBi
Source: OQMD via LeMat-Bulk
Functional: GGA-PBE
Structure: optimized geometry

```
data_PmBeBi
_symmetry_space_group_name_H-M 'P -6 m 2'
_symmetry_Int_Tables_number 187
_symmetry_space_group_name_Hall 'P -6 2'
_cell_length_a 5.4148
_cell_length_b 5.4148
_cell_length_c 10.2472
_cell_angle_alpha 90.00
_cell_angle_beta 90.00
_cell_angle_gamma 120.00
loop_
_atom_site_label
_atom_site_type_symbol
_atom_site_fract_x
_atom_site_fract_y
_atom_site_fract_z
Pm1 Pm 0.0000 0.0000 0.0000
Pm2 Pm 0.6667 0.3333 0.3051
Be1 Be 0.3333 0.6667 0.2904
Be2 Be 0.3333 0.6667 0.5000
Bi1 Bi 0.0000 0.0000 0.3210
Bi2 Bi 0.6667 0.3333 0.0000
```

## Properties
- crystal system = hexagonal

=====

Version b
Compound: PmBeBi
Source: OQMD via LeMat-Bulk
Functional: GGA-PBE
Structure: optimized geometry

```
data_PmBeBi
_symmetry_space_group_name_H-M 'F -4 3 m'
_symmetry_Int_Tables_number 216
_symmetry_space_group_name_Hall 'F -4 2 3'
_cell_length_a 7.1282
_cell_length_b 7.1282
_cell_length_c 7.1282
_cell_angle_alpha 90.00
_cell_angle_beta 90.00
_cell_angle_gamma 90.00
loop_
_atom_site_label
_atom_site_type_symbol
_atom_site_fract_x
_atom_site_fract_y
_atom_site_fract_z
Pm1 Pm 0.0000 0.0000 0.0000
Be1 Be 0.2500 0.2500 0.7500
Bi1 Bi 0.2500 0.2500 0.2500
```

## Properties
- crystal system = cubic

=====

Verdict on stability: version b comes out at the bottom.

=====

Version a
Compound: PrBeBi
Source: OQMD via LeMat-Bulk
Functional: GGA-PBE
Structure: optimized geometry

```
data_PrBeBi
_symmetry_space_group_name_H-M 'F -4 3 m'
_symmetry_Int_Tables_number 216
_symmetry_space_group_name_Hall 'F -4 2 3'
_cell_length_a 7.2227
_cell_length_b 7.2227
_cell_length_c 7.2227
_cell_angle_alpha 90.00
_cell_angle_beta 90.00
_cell_angle_gamma 90.00
loop_
_atom_site_label
_atom_site_type_symbol
_atom_site_fract_x
_atom_site_fract_y
_atom_site_fract_z
Pr1 Pr 0.0000 0.0000 0.0000
Be1 Be 0.2500 0.2500 0.7500
Bi1 Bi 0.2500 0.2500 0.2500
```

## Properties
- crystal system = cubic

=====

Version b
Compound: PrBeBi
Source: OQMD via LeMat-Bulk
Functional: GGA-PBE
Structure: optimized geometry

```
data_PrBeBi
_symmetry_space_group_name_H-M 'F -4 3 m'
_symmetry_Int_Tables_number 216
_symmetry_space_group_name_Hall 'F -4 2 3'
_cell_length_a 6.7371
_cell_length_b 6.7371
_cell_length_c 6.7371
_cell_angle_alpha 90.00
_cell_angle_beta 90.00
_cell_angle_gamma 90.00
loop_
_atom_site_label
_atom_site_type_symbol
_atom_site_fract_x
_atom_site_fract_y
_atom_site_fract_z
Pr1 Pr 0.0000 0.0000 0.0000
Be1 Be 0.2500 0.2500 0.7500
Bi1 Bi 0.0000 0.0000 0.5000
```

## Properties
- crystal system = cubic

=====

Verdict on stability: version a comes out at the bottom.

=====

Version a
Compound: BeReSiBi
Source: OQMD via LeMat-Bulk
Functional: GGA-PBE
Structure: optimized geometry

```
data_BeReSiBi
_symmetry_space_group_name_H-M 'F -4 3 m'
_symmetry_Int_Tables_number 216
_symmetry_space_group_name_Hall 'F -4 2 3'
_cell_length_a 6.4112
_cell_length_b 6.4112
_cell_length_c 6.4112
_cell_angle_alpha 90.00
_cell_angle_beta 90.00
_cell_angle_gamma 90.00
loop_
_atom_site_label
_atom_site_type_symbol
_atom_site_fract_x
_atom_site_fract_y
_atom_site_fract_z
Be1 Be 0.0000 0.0000 0.0000
Re1 Re 0.0000 0.0000 0.5000
Si1 Si 0.2500 0.2500 0.7500
Bi1 Bi 0.2500 0.2500 0.2500
```

## Properties
- crystal system = cubic

=====

Version b
Compound: BeReSiBi
Source: OQMD via LeMat-Bulk
Functional: GGA-PBE
Structure: optimized geometry

```
data_BeReSiBi
_symmetry_space_group_name_H-M 'F -4 3 m'
_symmetry_Int_Tables_number 216
_symmetry_space_group_name_Hall 'F -4 2 3'
_cell_length_a 6.4103
_cell_length_b 6.4103
_cell_length_c 6.4103
_cell_angle_alpha 90.00
_cell_angle_beta 90.00
_cell_angle_gamma 90.00
loop_
_atom_site_label
_atom_site_type_symbol
_atom_site_fract_x
_atom_site_fract_y
_atom_site_fract_z
Be1 Be 0.0000 0.0000 0.0000
Re1 Re 0.2500 0.2500 0.2500
Si1 Si 0.0000 0.0000 0.5000
Bi1 Bi 0.2500 0.2500 0.7500
```

## Properties
- crystal system = cubic

=====

Verdict on stability: version b comes out at the bottom.

=====

Version a
Compound: ScBeZnBi
Source: OQMD via LeMat-Bulk
Functional: GGA-PBE
Structure: optimized geometry

```
data_ScBeZnBi
_symmetry_space_group_name_H-M 'F -4 3 m'
_symmetry_Int_Tables_number 216
_symmetry_space_group_name_Hall 'F -4 2 3'
_cell_length_a 6.8622
_cell_length_b 6.8622
_cell_length_c 6.8622
_cell_angle_alpha 90.00
_cell_angle_beta 90.00
_cell_angle_gamma 90.00
loop_
_atom_site_label
_atom_site_type_symbol
_atom_site_fract_x
_atom_site_fract_y
_atom_site_fract_z
Sc1 Sc 0.0000 0.0000 0.0000
Be1 Be 0.2500 0.2500 0.7500
Zn1 Zn 0.0000 0.0000 0.5000
Bi1 Bi 0.2500 0.2500 0.2500
```

## Properties
- crystal system = cubic

=====

Version b
Compound: ScBeZnBi
Source: OQMD via LeMat-Bulk
Functional: GGA-PBE
Structure: optimized geometry

```
data_ScBeZnBi
_symmetry_space_group_name_H-M 'F -4 3 m'
_symmetry_Int_Tables_number 216
_symmetry_space_group_name_Hall 'F -4 2 3'
_cell_length_a 6.8297
_cell_length_b 6.8297
_cell_length_c 6.8297
_cell_angle_alpha 90.00
_cell_angle_beta 90.00
_cell_angle_gamma 90.00
loop_
_atom_site_label
_atom_site_type_symbol
_atom_site_fract_x
_atom_site_fract_y
_atom_site_fract_z
Sc1 Sc 0.0000 0.0000 0.0000
Be1 Be 0.0000 0.0000 0.5000
Zn1 Zn 0.2500 0.2500 0.2500
Bi1 Bi 0.2500 0.2500 0.7500
```

## Properties
- crystal system = cubic

=====

Version c
Compound: ScBeZnBi
Source: OQMD via LeMat-Bulk
Functional: GGA-PBE
Structure: optimized geometry

```
data_ScBeZnBi
_symmetry_space_group_name_H-M 'F -4 3 m'
_symmetry_Int_Tables_number 216
_symmetry_space_group_name_Hall 'F -4 2 3'
_cell_length_a 6.8339
_cell_length_b 6.8339
_cell_length_c 6.8339
_cell_angle_alpha 90.00
_cell_angle_beta 90.00
_cell_angle_gamma 90.00
loop_
_atom_site_label
_atom_site_type_symbol
_atom_site_fract_x
_atom_site_fract_y
_atom_site_fract_z
Sc1 Sc 0.0000 0.0000 0.0000
Be1 Be 0.2500 0.2500 0.2500
Zn1 Zn 0.2500 0.2500 0.7500
Bi1 Bi 0.0000 0.0000 0.5000
```

## Properties
- crystal system = cubic

=====

Verdict on stability: version a comes out at the bottom.